[1]
First-principles (PBE) data for a relaxed Y2CuPb crystal, as listed in Alexandria via LeMat-Bulk.

Summary:
Symmetry: No. 123
Magnetic moment in μB per cell: 0.4
Total energy in eV/atom: -5.482
Mass density in g/cm3: 7.4
DOS(E_F) in states/eV/cell: 3.50

abc: 5.0154 5.0143 3.9967
angles: 90.00 90.00 90.00
Atoms (fractional coordinates):
Cu1 0.5000 0.0000 0.5000
Pb1 0.0000 0.5000 0.5000
Y1 0.0000 0.0000 0.0000
Y2 0.5000 0.5000 0.0000

***

[2]
First-principles (PBE) data for a relaxed Mg2Sc6Co crystal, as listed in Alexandria via LeMat-Bulk.

Summary:
Symmetry: No. 38
Magnetic moment in μB per cell: 0.0
Total energy in eV/atom: -5.425
Mass density in g/cm3: 3.1
DOS(E_F) in states/eV/cell: 15.16

abc: 3.3215 8.4279 8.3839
angles: 120.17 90.00 90.00
Atoms (fractional coordinates):
Mg1 0.0000 0.3313 0.6642
Mg2 0.0000 0.6670 0.3358
Sc1 0.5000 0.6170 0.0000
Sc2 0.5000 0.3753 0.3753
Sc3 0.5000 0.0000 0.6247
Sc4 0.0000 0.2409 0.0000
Sc5 0.0000 0.7644 0.7673
Sc6 0.0000 0.9971 0.2327
Co1 0.5000 0.0070 0.0000

***

[3]
First-principles (PBE) data for a relaxed LiHoHf crystal, as listed in Alexandria via LeMat-Bulk.

Summary:
Energy relative to the lowest polymorph listed for this composition in meV/atom: 91
Symmetry: No. 107
Magnetic moment in μB per cell: 0.0
Mass density in g/cm3: 8.1
DOS(E_F) in states/eV/cell: 3.42

abc: 3.3001 3.3001 6.9839
angles: 103.67 103.67 90.00
Atoms (fractional coordinates):
Hf1 0.6693 0.6693 0.3385
Ho1 0.0055 0.0055 0.0109
Li1 0.3253 0.3253 0.6506

***

[4]
First-principles (PBE) data for a relaxed KAg2BrCl2 crystal, as listed in Alexandria via LeMat-Bulk.

Summary:
Energy relative to the elements, uncorrected in meV per atom: -880
Symmetry: No. 11
Magnetic moment in μB per cell: 0.0
Mass density in g/cm3: 3.6
DOS(E_F) in states/eV/cell: 0.00

abc: 5.8863 6.9451 9.8312
angles: 111.40 90.00 90.00
Atoms (fractional coordinates):
K1 0.7500 0.3621 0.6094
K2 0.2500 0.6379 0.3906
Ag1 0.5024 0.0853 0.1621
Ag2 0.9976 0.0853 0.1621
Ag3 0.0024 0.9147 0.8379
Ag4 0.4976 0.9147 0.8379
Br1 0.2500 0.2631 0.9876
Br2 0.7500 0.7369 0.0124
Cl1 0.2500 0.0753 0.3753
Cl2 0.2500 0.5799 0.6935
Cl3 0.7500 0.9247 0.6247
Cl4 0.7500 0.4201 0.3065